The following is a DFT calculation (PBE-GGA) of an optimized crystal structure of HfZnSe2S.

Values from the calculation:
- VASP energy: -19.30 eV/cell
- Uncorrected formation energy: 0.605 eV/atom
- Total magnetic moment: 0.000 μB/atom

Structure (extended XYZ):
```
5
Lattice="-2.533 0.353 -3.777 0.894 -5.429 -1.107 -3.723 -1.102 2.394" Properties=species:S:1:pos:R:3 pbc="T T T"
Se -1.862 -0.551 1.197
S -2.681 -3.089 -1.245
Se -1.267 0.177 -1.889
Hf 0.447 -2.714 -0.554
Zn 0.000 0.000 0.000
```